VASP calculation (PBEsol) on crystalline ZnInAs at its relaxed geometry.

Results
Final energy   -3.22 eV per atom
ΔE_f   0 kJ/mol of formula units

```
data_ZnInAs
_cell_length_a 3.9858
_cell_length_b 3.9858
_cell_length_c 4.5727
_cell_angle_alpha 90.00
_cell_angle_beta 90.00
_cell_angle_gamma 120.00
_space_group_name_H-M_alt 'P 3 m 1'
_space_group_IT_number 156
_space_group_name_Hall 'P 3 -2"'
loop_
_atom_site_label
_atom_site_type_symbol
_atom_site_fract_x
_atom_site_fract_y
_atom_site_fract_z
_atom_site_occupancy
Zn1 Zn 0.0000 0.0000 0.0000 1
In1 In 0.6667 0.3333 0.4020 1
As1 As 0.3333 0.6667 0.7920 1
```

***

VASP calculation (PBEsol) on crystalline Zr2InAs at its relaxed geometry.

Results
Final energy   -7.05 eV per atom
ΔE_f   -187 kJ/mol of formula units

```
data_Zr2InAs
_cell_length_a 6.080
_cell_length_b 7.614
_cell_length_c 3.445
_cell_angle_alpha 90.00
_cell_angle_beta 90.00
_cell_angle_gamma 90.00
_space_group_name_H-M_alt 'C m m m'
_space_group_IT_number 65
_space_group_name_Hall '-C 2 2'
loop_
_atom_site_label
_atom_site_type_symbol
_atom_site_fract_x
_atom_site_fract_y
_atom_site_fract_z
_atom_site_occupancy
Zr1 Zr 0.250 0.250 0.000 1
In1 In 0.000 0.000 0.500 1
As1 As 0.000 0.500 0.500 1
```

***

VASP calculation (PBEsol) on crystalline Zr2InAs at its relaxed geometry.

Results
Final energy   -7.06 eV per atom
ΔE_f   -191 kJ/mol of formula units

```
data_Zr2InAs
_cell_length_a 10.825
_cell_length_b 3.535
_cell_length_c 4.629
_cell_angle_alpha 90.00
_cell_angle_beta 113.50
_cell_angle_gamma 90.00
_space_group_name_H-M_alt 'C 1 m 1'
_space_group_IT_number 8
_space_group_name_Hall 'C -2y'
loop_
_atom_site_label
_atom_site_type_symbol
_atom_site_fract_x
_atom_site_fract_y
_atom_site_fract_z
_atom_site_occupancy
Zr1 Zr 0.000 0.000 0.000 1
Zr2 Zr 0.236 0.000 0.650 1
In1 In 0.263 0.500 0.178 1
As1 As 0.019 0.500 0.536 1
```